VASP calculation (PBE) on TlTcO3 after structural relaxation.

Results
M_tot   0.0 μB/cell
Uncorrected formation energy   -1113 meV/atom
Calculated total energy   -6.6349 eV per atom

Cell lengths 2.8548, 7.7496, 7.8817 Å; angles 90.00, 90.10, 90.00 degrees
Space group P2_1/m (No. 11)
Inequivalent atoms, fractional coordinates:
Tl 0.0081 0.2500 0.1738 x2
Tc 0.4875 0.7500 0.3036 x2
O 0.0128 0.0924 0.7784 x4
O 0.4886 0.7500 0.5227 x2